Sr2MnAs2O6 | PBE with a Hubbard U | relaxed Values from VASP.

Computed properties:
**Calculated total energy**: -6.253 eV per atom
**Total moment**: 4.0 μB per formula unit
**Space group**: C2/m (12)

Quantum ESPRESSO input file:
```
&SYSTEM
  ibrav = 0, nat = 11, ntyp = 4
/
ATOMIC_SPECIES
O 16.00 O.upf
As 74.92 As.upf
Sr 87.62 Sr.upf
Mn 54.94 Mn.upf
CELL_PARAMETERS angstrom
-4.653 -4.574 -0.233
5.586 -1.103 1.570
-2.675 2.499 4.367
ATOMIC_POSITIONS crystal
O 0.285 0.966 0.238
As 0.972 0.943 0.738
O 0.715 0.034 0.762
O 0.221 0.443 0.368
Sr 0.685 0.369 0.150
Mn 0.500 0.000 0.500
O 0.681 0.966 0.238
Sr 0.315 0.631 0.850
O 0.319 0.034 0.762
O 0.779 0.557 0.632
As 0.028 0.057 0.262
```